MoRh3F: optimized geometry, PBE with a Hubbard U.

a = 4.7135 Å, b = 4.7135 Å, c = 4.7135 Å
α = 90.00°, β = 90.00°, γ = 90.00°
Sites, in units of the cell vectors:
Mo 0.0000 0.0000 0.0000
Rh 0.5000 0.0000 0.0000
F 0.5000 0.5000 0.5000
Rh 0.0000 0.0000 0.5000
Rh 0.0000 0.5000 0.0000

Output
final energy: -0.34967 Ry/atom
SG: Pm-3m